i:
Entry from the Alexandria database: an optimized crystal structure of LaNd4Sm5 (PBE).

Cell: 3.6772 3.6772 25.7940 Å, 90.00 90.00 90.00°
Space group P4/mmm (No. 123)
Inequivalent atoms, fractional coordinates:
La (0.0000, 0.0000, 0.0000) x1
Nd (0.0000, 0.0000, 0.2008) x2
Nd (0.0000, 0.0000, 0.4004) x2
Sm (0.5000, 0.5000, 0.1014) x2
Sm (0.5000, 0.5000, 0.3007) x2
Sm (0.5000, 0.5000, 0.5000) x1

Values from the calculation:
Density of states at the Fermi level   15.4 states/eV per cell

ii:
Entry from the Alexandria database: an optimized crystal structure of LaNd4Sm5 (PBE).

Cell: 28.9546 3.5125 6.9485 Å, 90.00 97.30 90.00°
Space group C2/m (No. 12)
Inequivalent atoms, fractional coordinates:
La (0.0000, 0.0000, 0.0000) x2
Nd (0.0954, 0.5000, 0.3046) x4
Nd (0.1085, 0.0000, 0.8037) x4
Sm (0.0000, 0.0000, 0.5000) x2
Sm (0.2029, 0.5000, 0.6016) x4
Sm (0.2064, 0.5000, 0.1015) x4

Values from the calculation:
Density of states at the Fermi level   34.4 states/eV per cell

Stability summary - winner: i; margin: 0.114 eV/atom.

i:
Entry from the Alexandria database: an optimized crystal structure of La2Nd3Sm6 (PBE).

Cell: 4.8624 4.8624 34.0931 Å, 90.00 90.00 90.00°
Space group I4/mmm (No. 139)
Inequivalent atoms, fractional coordinates:
La (0.0000, 0.0000, 0.0454) x4
Nd (0.0000, 0.0000, 0.2980) x4
Nd (0.0000, 0.0000, 0.5000) x2
Sm (0.0000, 0.0000, 0.1964) x4
Sm (0.0000, 0.5000, 0.1218) x8

Values from the calculation:
Density of states at the Fermi level   32.0 states/eV per cell

ii:
Entry from the Alexandria database: an optimized crystal structure of La2Nd3Sm6 (PBE).

Cell: 6.0108 11.6091 11.3903 Å, 90.00 98.25 90.00°
Space group C2/m (No. 12)
Inequivalent atoms, fractional coordinates:
La (0.0000, 0.1392, 0.0000) x4
Nd (0.0000, 0.1773, 0.5000) x4
Nd (0.0000, 0.5000, 0.5000) x2
Sm (0.0672, 0.3425, 0.2219) x8
Sm (0.0861, 0.0000, 0.2664) x4

Values from the calculation:
Density of states at the Fermi level   33.6 states/eV per cell

Stability summary - winner: ii; margin: 0.100 eV/atom.

i:
Entry from the Alexandria database: an optimized crystal structure of La3NdSm2 (PBE).

Cell: 7.3778 7.3778 9.0609 Å, 90.00 90.00 120.00°
Space group P-3m1 (No. 164)
Inequivalent atoms, fractional coordinates:
La (0.1662, 0.3323, 0.1698) x6
Nd (0.3333, 0.6667, 0.8298) x2
Sm (0.0000, 0.0000, 0.5000) x1
Sm (0.0000, 0.5000, 0.5000) x3

Values from the calculation:
Density of states at the Fermi level   19.4 states/eV per cell

ii:
Entry from the Alexandria database: an optimized crystal structure of La3NdSm2 (PBE).

Cell: 6.7937 18.3695 3.4986 Å, 90.00 90.00 90.00°
Space group Pnnm (No. 58)
Inequivalent atoms, fractional coordinates:
La (0.0000, 0.0000, 0.0000) x2
La (0.2252, 0.3146, 0.0000) x4
Nd (0.0000, 0.5000, 0.0000) x2
Sm (0.2223, 0.1484, 0.5000) x4

Values from the calculation:
Density of states at the Fermi level   24.1 states/eV per cell

Stability summary - winner: i; margin: 0.212 eV/atom.

i:
Entry from the Alexandria database: an optimized crystal structure of La3NdSm6 (PBE).

Cell: 10.1086 10.1086 11.8679 Å, 90.00 90.00 120.00°
Space group R3 (No. 146, hexagonal axes)
Inequivalent atoms, fractional coordinates:
La (0.0000, 0.0000, 0.0000) x3
La (0.0000, 0.0000, 0.2481) x3
La (0.0000, 0.0000, 0.7514) x3
Nd (0.0000, 0.0000, 0.5003) x3
Sm (0.0010, 0.6772, 0.2515) x9
Sm (0.0109, 0.3426, 0.4157) x9

Values from the calculation:
Density of states at the Fermi level   65.9 states/eV per cell

ii:
Entry from the Alexandria database: an optimized crystal structure of La3NdSm6 (PBE).

Cell: 11.1290 19.5441 6.4649 Å, 90.00 90.00 90.00°
Space group Cmc2_1 (No. 36)
Inequivalent atoms, fractional coordinates:
La (0.0000, 0.1140, 0.0000) x4
La (0.1746, 0.3840, 0.3862) x8
Nd (0.0000, 0.3105, 0.0325) x4
Sm (0.0000, 0.2218, 0.5682) x4
Sm (0.0000, 0.4656, 0.7872) x4
Sm (0.1701, 0.0435, 0.4739) x8
Sm (0.2369, 0.2090, 0.2941) x8

Values from the calculation:
Density of states at the Fermi level   57.8 states/eV per cell

Stability summary - winner: ii; margin: 0.111 eV/atom.

i:
Entry from the Alexandria database: an optimized crystal structure of La2Nd3Sm (PBE).

Cell: 7.1530 10.1166 5.8690 Å, 90.00 90.00 90.00°
Space group Pnnm (No. 58)
Inequivalent atoms, fractional coordinates:
La (0.2504, 0.1673, 0.0000) x4
Nd (0.0000, 0.0000, 0.5000) x2
Nd (0.2502, 0.3322, 0.5000) x4
Sm (0.0000, 0.5000, 0.0000) x2

Values from the calculation:
Density of states at the Fermi level   17.1 states/eV per cell

ii:
Entry from the Alexandria database: an optimized crystal structure of La2Nd3Sm (PBE).

Cell: 17.4853 7.0587 7.1407 Å, 90.00 101.73 90.00°
Space group C2/c (No. 15)
Inequivalent atoms, fractional coordinates:
La (0.1732, 0.0026, 0.0878) x8
Nd (0.0000, 0.2345, 0.7500) x4
Nd (0.1415, 0.4980, 0.5697) x8
Sm (0.0000, 0.2371, 0.2500) x4

Values from the calculation:
Density of states at the Fermi level   32.4 states/eV per cell

Stability summary - winner: i; margin: 0.069 eV/atom.

i:
Entry from the Alexandria database: an optimized crystal structure of La2Nd5Sm4 (PBE).

Cell: 24.5087 3.5285 9.0203 Å, 90.00 96.40 90.00°
Space group C2/m (No. 12)
Inequivalent atoms, fractional coordinates:
La (0.2306, 0.0000, 0.3234) x4
Nd (0.0000, 0.5000, 0.5000) x2
Nd (0.0906, 0.0000, 0.2309) x4
Nd (0.1397, 0.0000, 0.6156) x4
Sm (0.0462, 0.0000, 0.8624) x4
Sm (0.1769, 0.5000, 0.9693) x4

Values from the calculation:
Density of states at the Fermi level   37.7 states/eV per cell

ii:
Entry from the Alexandria database: an optimized crystal structure of La2Nd5Sm4 (PBE).

Cell: 3.5750 9.3860 23.8180 Å, 90.00 90.00 90.00°
Space group Immm (No. 71)
Inequivalent atoms, fractional coordinates:
La (0.0000, 0.0000, 0.2320) x4
Nd (0.0000, 0.1938, 0.3573) x8
Nd (0.0000, 0.5000, 0.0000) x2
Sm (0.0000, 0.0000, 0.0973) x4
Sm (0.0000, 0.3073, 0.5000) x4

Values from the calculation:
Density of states at the Fermi level   33.0 states/eV per cell

Stability summary - winner: i; margin: 0.053 eV/atom.